Entry a
## LaPrYMg (GGA-PBE)

Data for LaPrYMg after structural relaxation.

Cell lengths 3.782, 3.782, 9.024 Å; angles 90.00, 90.00, 90.00 degrees
Space group P4mm (No. 99)
Symmetry-distinct sites (fractional):
La1 0.000 0.000 0.000 x1
Pr1 0.500 0.500 0.715 x1
Y1 0.500 0.500 0.274 x1
Mg1 0.000 0.000 0.484 x1

Results
DOS(E_F), states/eV/cell: 4.96
Total magnetic moment, μB/f.u.: 0.00

Entry b
## LaPrYMg (GGA-PBE)

Data for LaPrYMg after structural relaxation.

Cell lengths 8.042, 8.042, 8.042 Å; angles 90.00, 90.00, 90.00 degrees
Space group F-43m (No. 216)
Symmetry-distinct sites (fractional):
La1 0.000 0.000 0.000 x4
Pr1 0.000 0.000 0.500 x4
Y1 0.250 0.250 0.750 x4
Mg1 0.250 0.250 0.250 x4

Results
DOS(E_F), states/eV/cell: 19.16
Total magnetic moment, μB/f.u.: 0.00

What should be chosen as the least stable of them? Choose entry b.

Entry a
## La4MgPt (GGA-PBE)

Data for La4MgPt after structural relaxation.

Cell lengths 8.997, 8.997, 8.997 Å; angles 90.00, 90.00, 90.00 degrees
Space group F-43m (No. 216)
Symmetry-distinct sites (fractional):
La1 0.123 0.123 0.377 x16
Mg1 0.000 0.000 0.000 x4
Pt1 0.250 0.250 0.750 x4

Results
DOS(E_F), states/eV/cell: 35.48
Total magnetic moment, μB/f.u.: 0.00

Entry b
## La4MgPt (GGA-PBE)

Data for La4MgPt after structural relaxation.

Cell lengths 14.516, 14.516, 14.516 Å; angles 90.00, 90.00, 90.00 degrees
Space group F-43m (No. 216)
Symmetry-distinct sites (fractional):
La1 0.000 0.000 0.186 x24
La2 0.059 0.250 0.750 x24
La3 0.098 0.098 0.402 x16
Mg1 0.171 0.171 0.171 x16
Pt1 0.107 0.107 0.607 x16

Results
DOS(E_F), states/eV/cell: 104.62
Total magnetic moment, μB/f.u.: 0.00

What should be chosen as the least stable of them? Choose entry a.

Entry a
## LaMgPt3 (GGA-PBE)

Data for LaMgPt3 after structural relaxation.

Cell lengths 4.759, 4.759, 4.759 Å; angles 90.00, 90.00, 90.00 degrees
Space group Pm-3m (No. 221)
Symmetry-distinct sites (fractional):
La1 0.000 0.000 0.000 x1
Mg1 0.500 0.500 0.500 x1
Pt1 0.000 0.500 0.500 x3

Results
DOS(E_F), states/eV/cell: 4.07
Total magnetic moment, μB/f.u.: 0.00

Entry b
## LaMgPt3 (GGA-PBE)

Data for LaMgPt3 after structural relaxation.

Cell lengths 5.251, 5.251, 5.251 Å; angles 90.00, 90.00, 90.00 degrees
Space group Pm-3m (No. 221)
Symmetry-distinct sites (fractional):
La1 0.000 0.000 0.000 x1
Mg1 0.500 0.500 0.500 x1
Pt1 0.000 0.000 0.500 x3

Results
DOS(E_F), states/eV/cell: 5.93
Total magnetic moment, μB/f.u.: 0.00

What should be chosen as the least stable of them? Choose entry b.